No. 1
GGA-PBE PtCl, relaxed; space-group type = Cmcm (63); N(E_F) = 0.15 states/eV per cell; ΔE_f (raw) = 0.12 eV/atom
1.0
2.614 -3.947 0.000
2.614 3.947 0.000
0.000 0.000 3.639
Pt Cl
2 2
direct
0.117 0.883 0.750
0.883 0.117 0.250
0.337 0.663 0.250
0.663 0.337 0.750



No. 2
GGA-PBE Pt2Cl, relaxed; space-group type = P6_3/mmc (194); N(E_F) = 7.87 states/eV per cell; excess energy over the best structure of this formula in the dataset = 633.9 meV per atom; ΔE_f (raw) = 0.81 eV/atom
1.0
4.280 0.000 0.000
-2.140 3.706 0.000
0.000 0.000 6.390
Pt Cl
4 2
direct
0.000 0.000 0.000
0.000 0.000 0.500
0.333 0.667 0.250
0.667 0.333 0.750
0.333 0.667 0.750
0.667 0.333 0.250



No. 3
GGA-PBE PtCl, relaxed; space-group type = I-43m (217); N(E_F) = 10.84 states/eV per cell; ΔE_f (raw) = 0.72 eV/atom
1.0
-3.835 3.835 3.835
3.835 -3.835 3.835
3.835 3.835 -3.835
Pt Cl
4 4
direct
0.000 0.000 0.369
0.000 0.369 0.000
0.369 0.000 0.000
0.631 0.631 0.631
0.000 0.000 0.705
0.000 0.705 0.000
0.295 0.295 0.295
0.705 0.000 0.000



No. 4
GGA-PBE Pt5Cl3, relaxed; space-group type = Cmmm (65); N(E_F) = 8.19 states/eV per cell; excess energy over the best structure of this formula in the dataset = 0.0 meV per atom; ΔE_f (raw) = 0.51 eV/atom
1.0
4.478 -5.247 0.000
4.478 5.247 0.000
0.000 0.000 2.856
Pt Cl
5 3
direct
0.000 0.000 0.000
0.000 0.500 0.000
0.256 0.256 0.500
0.500 0.000 0.000
0.744 0.744 0.500
0.235 0.765 0.500
0.500 0.500 0.000
0.765 0.235 0.500



No. 5
GGA-PBE Pt4Cl5, relaxed; space-group type = I4/mmm (139); N(E_F) = 16.34 states/eV per cell; ΔE_f (raw) = 0.68 eV/atom
1.0
-5.153 5.153 1.495
5.153 -5.153 1.495
5.153 5.153 -1.495
Pt Cl
4 5
direct
0.000 0.341 0.341
0.000 0.659 0.659
0.341 0.000 0.341
0.659 0.000 0.659
0.000 0.000 0.000
0.336 0.336 0.671
0.336 0.664 0.000
0.664 0.336 0.000
0.664 0.664 0.329



No. 6
GGA-PBE PtCl, relaxed; space-group type = Pnma (62); N(E_F) = 7.03 states/eV per cell; ΔE_f (raw) = 0.22 eV/atom
1.0
9.445 0.000 0.000
0.000 3.623 0.000
0.000 0.000 6.647
Pt Cl
4 4
direct
0.029 0.250 0.129
0.471 0.750 0.629
0.529 0.250 0.371
0.971 0.750 0.871
0.137 0.750 0.289
0.363 0.250 0.789
0.637 0.750 0.211
0.863 0.250 0.711



No. 7
GGA-PBE PtCl, relaxed; space-group type = P-3m1 (164); N(E_F) = 8.56 states/eV per cell; ΔE_f (raw) = 0.25 eV/atom
1.0
3.428 0.000 0.000
-1.714 2.968 0.000
0.000 0.000 8.502
Pt Cl
2 2
direct
0.333 0.667 0.101
0.667 0.333 0.899
0.333 0.667 0.703
0.667 0.333 0.297



No. 8
GGA-PBE PtCl2, relaxed; space-group type = P-1 (2); N(E_F) = 0.00 states/eV per cell; ΔE_f (raw) = -0.37 eV/atom
1.0
6.853 0.000 0.000
-3.399 6.385 0.000
-1.642 -1.582 7.129
Pt Cl
4 8
direct
0.171 0.446 0.286
0.251 0.000 0.501
0.749 0.000 0.499
0.829 0.554 0.714
0.042 0.689 0.266
0.206 0.810 0.739
0.285 0.191 0.264
0.468 0.311 0.737
0.532 0.689 0.263
0.715 0.809 0.736
0.794 0.190 0.261
0.958 0.311 0.734



No. 9
GGA-PBE PtCl, relaxed; space-group type = Imma (74); N(E_F) = 6.09 states/eV per cell; ΔE_f (raw) = 0.27 eV/atom
1.0
-1.430 4.013 4.839
1.430 -4.013 4.839
1.430 4.013 -4.839
Pt Cl
2 2
direct
0.389 0.139 0.250
0.611 0.861 0.750
0.192 0.442 0.750
0.808 0.558 0.250



No. 10
GGA-PBE PtCl, relaxed; space-group type = Pmn2_1 (31); N(E_F) = 3.91 states/eV per cell; ΔE_f (raw) = 0.23 eV/atom
1.0
9.843 0.000 0.000
0.000 4.713 0.000
0.000 0.000 5.589
Pt Cl
6 6
direct
0.000 0.216 0.000
0.242 0.983 0.011
0.258 0.017 0.511
0.500 0.784 0.500
0.742 0.017 0.511
0.758 0.983 0.011
0.000 0.155 0.520
0.198 0.493 0.049
0.302 0.507 0.549
0.500 0.845 0.020
0.698 0.507 0.549
0.802 0.493 0.049



No. 11
GGA-PBE PtCl2, relaxed; space-group type = R-3m (166); N(E_F) = 0.00 states/eV per cell; ΔE_f (raw) = -0.38 eV/atom
1.0
6.933 4.003 3.110
-6.933 4.003 3.110
0.000 -8.005 3.110
Pt Cl
6 12
direct
0.189 0.432 0.432
0.432 0.189 0.432
0.432 0.432 0.189
0.568 0.568 0.811
0.568 0.811 0.568
0.811 0.568 0.568
0.131 0.131 0.369
0.131 0.369 0.131
0.263 0.500 0.737
0.263 0.737 0.500
0.369 0.131 0.131
0.500 0.263 0.737
0.500 0.737 0.263
0.631 0.869 0.869
0.737 0.263 0.500
0.737 0.500 0.263
0.869 0.631 0.869
0.869 0.869 0.631



No. 12
GGA-PBE Pt3Cl2, relaxed; space-group type = P-3m1 (164); N(E_F) = 4.11 states/eV per cell; excess energy over the best structure of this formula in the dataset = 428.8 meV per atom; ΔE_f (raw) = 0.65 eV/atom
1.0
3.951 0.000 0.000
-1.975 3.421 0.000
0.000 0.000 9.248
Pt Cl
3 2
direct
0.000 0.000 0.000
0.333 0.667 0.453
0.667 0.333 0.547
0.333 0.667 0.866
0.667 0.333 0.134



No. 13
GGA-PBE Pt3Cl, relaxed; space-group type = Pm-3m (221); N(E_F) = 5.73 states/eV per cell; excess energy over the best structure of this formula in the dataset = 546.2 meV per atom; ΔE_f (raw) = 0.76 eV/atom
1.0
4.036 0.000 0.000
0.000 4.036 0.000
0.000 0.000 4.036
Pt Cl
3 1
direct
0.000 0.000 0.500
0.000 0.500 0.000
0.500 0.000 0.000
0.500 0.500 0.500



No. 14
GGA-PBE PtCl2, relaxed; space-group type = P-1 (2); N(E_F) = 3.78 states/eV per cell; ΔE_f (raw) = -0.09 eV/atom
1.0
4.653 0.000 0.000
-1.256 4.519 0.000
-0.793 -1.762 7.704
Pt Cl
2 4
direct
0.211 0.285 0.093
0.789 0.715 0.907
0.223 0.093 0.333
0.251 0.554 0.865
0.749 0.446 0.135
0.777 0.907 0.667



No. 15
GGA-PBE Pt2Cl, relaxed; space-group type = C2/m (12); N(E_F) = 4.87 states/eV per cell; excess energy over the best structure of this formula in the dataset = 0.0 meV per atom; ΔE_f (raw) = 0.17 eV/atom
1.0
7.995 -1.732 0.000
7.995 1.732 0.000
-2.023 0.000 5.720
Pt Cl
4 2
direct
0.186 0.186 0.413
0.256 0.256 0.861
0.744 0.744 0.139
0.814 0.814 0.587
0.426 0.426 0.684
0.574 0.574 0.316



No. 16
GGA-PBE PtCl2, relaxed; space-group type = P4/mmm (123); N(E_F) = 1.38 states/eV per cell; ΔE_f (raw) = 0.28 eV/atom
1.0
4.420 0.000 0.000
0.000 4.420 0.000
0.000 0.000 3.052
Pt Cl
1 2
direct
0.000 0.000 0.000
0.000 0.500 0.500
0.500 0.000 0.500



No. 17
GGA-PBE PtCl, relaxed; space-group type = P4_2/mnm (136); N(E_F) = 11.01 states/eV per cell; ΔE_f (raw) = 0.40 eV/atom
1.0
8.879 0.000 0.000
0.000 8.879 0.000
0.000 0.000 3.006
Pt Cl
4 4
direct
0.099 0.099 0.000
0.401 0.599 0.500
0.599 0.401 0.500
0.901 0.901 0.000
0.238 0.238 0.500
0.262 0.738 0.000
0.738 0.262 0.000
0.762 0.762 0.500



No. 18
GGA-PBE Pt2Cl, relaxed; space-group type = Fm-3m (225); N(E_F) = 5.27 states/eV per cell; excess energy over the best structure of this formula in the dataset = 967.4 meV per atom; ΔE_f (raw) = 1.14 eV/atom
1.0
0.000 3.017 3.017
3.017 0.000 3.017
3.017 3.017 0.000
Pt Cl
2 1
direct
0.250 0.250 0.250
0.750 0.750 0.750
0.000 0.000 0.000



No. 19
GGA-PBE PtCl2, relaxed; space-group type = Pa-3 (205); N(E_F) = 5.76 states/eV per cell; ΔE_f (raw) = -0.06 eV/atom
1.0
6.194 0.000 0.000
0.000 6.194 0.000
0.000 0.000 6.194
Pt Cl
4 8
direct
0.000 0.000 0.000
0.000 0.500 0.500
0.500 0.000 0.500
0.500 0.500 0.000
0.157 0.657 0.843
0.157 0.843 0.343
0.343 0.157 0.843
0.343 0.343 0.343
0.657 0.657 0.657
0.657 0.843 0.157
0.843 0.157 0.657
0.843 0.343 0.157



No. 20
GGA-PBE Pt3Cl4, relaxed; space-group type = I4/mmm (139); N(E_F) = 7.45 states/eV per cell; ΔE_f (raw) = 0.40 eV/atom
1.0
-1.590 1.590 14.795
1.590 -1.590 14.795
1.590 1.590 -14.795
Pt Cl
3 4
direct
0.000 0.000 0.000
0.276 0.276 0.000
0.724 0.724 0.000
0.169 0.169 0.000
0.447 0.447 0.000
0.553 0.553 0.000
0.831 0.831 0.000